1.
First-principles (GGA-PBE) data for a geometry-optimized Tm6TlS4 structure, as listed in Alexandria via LeMat-Bulk.

Cell and atoms, written as POSCAR:
```
Tm6TlS4
1.0
-2.541 0.123 2.914
-1.822 -5.162 -3.938
11.510 -12.110 10.549
S Tm Tl
8 12 2
Direct
0.594 0.188 0.879
0.863 0.725 0.961
0.594 0.188 0.621
0.863 0.725 0.539
0.406 0.812 0.121
0.137 0.275 0.039
0.137 0.275 0.461
0.406 0.812 0.379
0.771 0.542 0.084
0.961 0.922 0.842
0.771 0.542 0.416
0.961 0.922 0.658
0.500 0.000 0.000
0.229 0.458 0.916
0.500 0.000 0.500
0.039 0.078 0.342
0.229 0.458 0.584
0.350 0.700 0.250
0.039 0.078 0.158
0.650 0.300 0.750
0.666 0.332 0.250
0.334 0.668 0.750
```

Calculated values
The raw formation energy comes out at -1.50 eV/atom.



2.
First-principles (GGA-PBE) data for a geometry-optimized Tm3TlS6 structure, as listed in Alexandria via LeMat-Bulk.

Cell and atoms, written as POSCAR:
```
Tm3TlS6
1.0
-3.989 -5.217 -0.532
2.575 -1.152 -8.015
5.522 -4.677 4.454
S Tm Tl
12 6 2
Direct
0.185 0.370 0.304
0.685 0.304 0.370
0.724 0.549 0.099
0.724 0.901 0.451
0.622 0.221 0.779
0.224 0.099 0.549
0.224 0.451 0.901
0.185 0.696 0.630
0.189 0.029 0.971
0.685 0.630 0.696
0.122 0.779 0.221
0.689 0.971 0.029
0.983 0.715 0.911
0.892 0.593 0.407
0.483 0.285 0.089
0.392 0.407 0.593
0.483 0.911 0.715
0.983 0.089 0.285
0.998 0.202 0.798
0.498 0.798 0.202
```

Calculated values
The raw formation energy comes out at -1.55 eV/atom. For the energy above the lowest structure with this stoichiometry, the calculation gives 0.00 eV/f.u.



3.
First-principles (GGA-PBE) data for a geometry-optimized Tm3Tl2S6 structure, as listed in Alexandria via LeMat-Bulk.

Cell and atoms, written as POSCAR:
```
Tm3Tl2S6
1.0
6.576 0.000 1.953
3.288 5.936 0.976
0.116 0.000 7.599
Tm S Tl
3 6 2
Direct
0.334 0.333 0.000
0.666 0.667 0.000
0.000 0.000 0.000
0.400 0.663 0.799
0.063 0.337 0.799
0.937 0.663 0.201
0.264 0.000 0.200
0.600 0.337 0.201
0.736 0.000 0.800
0.833 0.334 0.500
0.167 0.666 0.500
```

Calculated values
The raw formation energy comes out at -1.50 eV/atom.



4.
First-principles (GGA-PBE) data for a geometry-optimized TmTlS2 structure, as listed in Alexandria via LeMat-Bulk.

Cell and atoms, written as POSCAR:
```
TmTlS2
1.0
7.873 0.006 0.003
6.866 3.852 0.003
6.866 1.797 3.407
S Tm Tl
2 1 1
Direct
0.732 0.732 0.732
0.268 0.268 0.268
0.000 0.000 0.000
0.500 0.500 0.500
```

Calculated values
The raw formation energy comes out at -1.49 eV/atom.



What is the raw formation energy in the fourth record?
-1.49 eV/atom



Which of these has the lowest raw formation energy?
Tm3TlS6



Among the records above, which one has the highest raw formation energy?
TmTlS2



Which value of raw formation energy does entry 2 give?
-1.55 eV/atom